# 1
Density functional theory data (PBE-GGA) for a relaxed structure of NaAc4Te5.

Properties
total energy = -4.7965 eV per atom
relative energy among the computed polymorphs = 5 meV/atom
E_form (uncorrected) = -1.4503 eV per atom

abc: 4.7384 4.7384 57.6407
angles: 90.00 90.00 120.00
Last column: nearest neighbours and their distance in Å.
Space group R-3m (No. 166, hexagonal axes)
Unique sites:
Na 0.0000 0.0000 0.0000  6 Te 3.33
Ac 0.0000 0.0000 0.2002  6 Te 3.35
Ac 0.0000 0.0000 0.3990  6 Te 3.32-3.36
Te 0.0000 0.0000 0.0995  6 Ac 3.35-3.36
Te 0.0000 0.0000 0.3005  3 Ac 3.32, 3 Na 3.33
Te 0.0000 0.0000 0.5000  6 Ac 3.35

# 2
Density functional theory data (PBE-GGA) for a relaxed structure of NaAc2Te.

Properties
total energy = -3.5711 eV per atom
relative energy among the computed polymorphs = 100 meV/atom
E_form (uncorrected) = -0.4017 eV per atom

abc: 4.2053 4.2053 36.7616
angles: 90.00 90.00 120.00
Last column: nearest neighbours and their distance in Å.
Space group R-3m (No. 166, hexagonal axes)
Unique sites:
Na 0.0000 0.0000 0.0000  2 Ac 3.88, 6 Na 4.21
Ac 0.0000 0.0000 0.1056  3 Te 3.31
Te 0.0000 0.0000 0.5000  6 Ac 3.31

# 3
Density functional theory data (PBE-GGA) for a relaxed structure of Na3AcTe3.

Properties
total energy = -3.6570 eV per atom
E_form (uncorrected) = -1.1584 eV per atom

abc: 8.8491 8.8491 23.4690
angles: 90.00 90.00 120.00
Last column: nearest neighbours and their distance in Å.
Space group R-3 (No. 148, hexagonal axes)
Unique sites:
Na 0.0098 0.7161 0.1177  4 Te 3.09-3.20
Ac 0.0000 0.0000 0.3344  6 Te 3.34-3.38
Te 0.0061 0.6311 0.9204  4 Na 3.09-3.20, 2 Ac 3.34-3.38